Record 1
A crystal of CaPOs2 relaxed with PBEsol, computed with meta-GGA SCAN.

Computed properties:
VASP energy: -40.378 eV per atom
Energy of formation from the pure elements: 0.5777 eV per atom

Cell: 3.814 3.814 4.268 Å, 90.00 90.00 90.00°
Fractional coordinates of all 4 atoms:
Ca1 0.000 0.000 0.500
Os1 0.000 0.500 0.000
Os2 0.500 0.000 0.000
P1 0.500 0.500 0.500

Record 2
A crystal of CrSb3Ir relaxed with PBEsol, computed with meta-GGA SCAN.

Computed properties:
VASP energy: -39.558 eV per atom
Energy relative to the elements, uncorrected: 3.5 eV/f.u.

Cell: 5.133 5.133 5.133 Å, 90.00 90.00 90.00°
Fractional coordinates of all 5 atoms:
Sb1 0.000 0.500 0.000
Sb2 0.000 0.000 0.500
Sb3 0.500 0.000 0.000
Ir1 0.000 0.000 0.000
Cr1 0.500 0.500 0.500

| no. | volume (A^3/atom) | total moment (μB per cell) |
| --- | --- | --- |
| 1 | 15.5 | 0.00 |
| 2 | 27.1 | 4.46 |